A plane-wave DFT calculation with GGA-PBE was carried out for crystalline Co2Sb at its relaxed geometry.

Calculated values
The calculation puts the uncorrected energy at -6.0524 eV per atom. Its total moment is 2.0 μB per formula unit.

Unit cell a=3.7883 b=3.7883 c=6.0551 alpha=90.00 beta=90.00 gamma=90.00
With the nearest neighbours (Å) after each atom.
Sites, in units of the cell vectors:
Sb  0.0000  0.5000  0.3074  9 Co 2.59-2.69
Sb  0.5000  0.0000  0.6926  9 Co 2.59-2.69
Co  0.5000  0.0000  0.2646  4 Co 2.48, 5 Sb 2.59-2.69
Co  0.0000  0.5000  0.7354  4 Co 2.48, 5 Sb 2.59-2.69
Co  0.5000  0.5000  0.0000  8 Co 2.48-2.68, 4 Sb 2.66
Co  0.0000  0.0000  0.0000  8 Co 2.48-2.68, 4 Sb 2.66